The following is a DFT calculation (PBE-GGA) of a geometry-optimized ReSiSe structure.

Calculated values
The formation energy (no corrections) is 0.18 eV/atom. Its size of the total moment is 0.0 μB/cell. Its volume is 49 Å³/cell. Its space-group type is P3m1.

Cell lengths 3.179, 3.179, 5.550 Å; angles 90.00, 90.00, 120.00 degrees
Fractional positions:
Se (0.667, 0.333, 0.318)
Re (0.000, 0.000, 0.992)
Si (0.333, 0.667, 0.691)